w.
The following is a DFT calculation (PBE-GGA) of an optimized crystal structure of MgBeZnSb.

The space group is F-43m (No. 216) and the conventional cell measures 6.699, 6.699 and 6.699 Å, with angles of 90.00, 90.00 and 90.00 degrees. The asymmetric unit holds Mg at (0.000, 0.000, 0.000), Be at (0.250, 0.250, 0.750), Zn at (0.250, 0.250, 0.250) and Sb at (0.000, 0.000, 0.500).

=====

x.
The following is a DFT calculation (PBE-GGA) of an optimized crystal structure of MgBeZnSb.

The space group is F-43m (No. 216) and the conventional cell measures 6.710, 6.710 and 6.710 Å, with angles of 90.00, 90.00 and 90.00 degrees. The asymmetric unit holds Mg at (0.000, 0.000, 0.000), Be at (0.000, 0.000, 0.500), Zn at (0.250, 0.250, 0.750) and Sb at (0.250, 0.250, 0.250).

=====

Quick one: most stable of them? x

=====

w.
The following is a DFT calculation (PBE-GGA) of an optimized crystal structure of MgScBeZn.

The space group is F-43m (No. 216) and the conventional cell measures 6.391, 6.391 and 6.391 Å, with angles of 90.00, 90.00 and 90.00 degrees. The asymmetric unit holds Mg at (0.000, 0.000, 0.000), Sc at (0.000, 0.000, 0.500), Be at (0.250, 0.250, 0.750) and Zn at (0.250, 0.250, 0.250).

Its total moment is 0.00 μB/cell.

=====

x.
The following is a DFT calculation (PBE-GGA) of an optimized crystal structure of MgScBeZn.

The space group is F-43m (No. 216) and the conventional cell measures 6.362, 6.362 and 6.362 Å, with angles of 90.00, 90.00 and 90.00 degrees. The asymmetric unit holds Mg at (0.000, 0.000, 0.000), Sc at (0.250, 0.250, 0.250), Be at (0.250, 0.250, 0.750) and Zn at (0.000, 0.000, 0.500).

Its total moment is 0.01 μB/cell.

=====

Quick one: most stable of them? w

=====

w.
The following is a DFT calculation (PBE-GGA) of an optimized crystal structure of SmMgBe.

The space group is F-43m (No. 216) and the conventional cell measures 6.632, 6.632 and 6.632 Å, with angles of 90.00, 90.00 and 90.00 degrees. The asymmetric unit holds Sm at (0.000, 0.000, 0.000), Mg at (0.250, 0.250, 0.750) and Be at (0.000, 0.000, 0.500).

Its total moment is 0.00 μB/cell.

=====

x.
The following is a DFT calculation (PBE-GGA) of an optimized crystal structure of SmMgBe.

The space group is F-43m (No. 216) and the conventional cell measures 6.822, 6.822 and 6.822 Å, with angles of 90.00, 90.00 and 90.00 degrees. The asymmetric unit holds Sm at (0.000, 0.000, 0.000), Mg at (0.250, 0.250, 0.250) and Be at (0.250, 0.250, 0.750).

Its total moment is 0.03 μB/cell.

=====

Quick one: most stable of them? w